A geometry-optimized Nd6Tm3Sc structure. Source: Alexandria via LeMat-Bulk, functional PBE.

Cell and atoms, written as extended XYZ:
```
20
Lattice="5.5252 -9.5959 0.0000 5.5252 9.5959 0.0000 0.0000 0.0000 6.2290" Properties=species:S:1:pos:R:3 pbc="T T T"
Nd 5.5252 8.7517 3.1145
Nd 2.9859 4.0757 0.5014
Nd 5.5252 4.2923 4.7997
Nd 3.6833 0.8512 5.5224
Nd 3.6833 -0.8512 2.4079
Nd 2.9859 -4.0757 3.6159
Nd 8.0645 4.0757 0.5014
Nd 7.3672 0.8512 5.5224
Nd 7.3672 -0.8512 2.4079
Nd 5.5252 -4.2923 1.6852
Nd 8.0645 -4.0757 3.6159
Nd 5.5252 -8.7517 0.0000
Tm 1.7945 2.1252 2.8846
Tm 1.7945 -2.1252 5.9990
Tm 5.5252 2.1816 2.2175
Tm 5.5252 -2.1816 5.3320
Tm 9.2559 2.1252 2.8846
Tm 9.2559 -2.1252 5.9990
Sc 5.5252 5.7491 1.9059
Sc 5.5252 -5.7491 5.0204
```

Calculated values
Total DFT energy (no corrections) in eV per cell: -93.94
Formation energy from the elements in eV per atom: 0.138
Fermi-level density of states in states/eV per atom: 1.324
Excess energy over the best structure of this formula in the dataset in meV per atom: 0
Space group: Cmc2_1, No. 36

A geometry-optimized PuUCoPd structure. Source: Alexandria via LeMat-Bulk, functional PBE.

Cell and atoms, written as extended XYZ:
```
4
Lattice="0.0000 3.2257 3.2257 3.2257 0.0000 3.2257 3.2257 3.2257 0.0000" Properties=species:S:1:pos:R:3 pbc="T T T"
Pu 0.0000 0.0000 0.0000
U 4.8386 4.8386 4.8386
Co 3.2257 3.2257 3.2257
Pd 1.6129 1.6129 1.6129
```

Calculated values
Total DFT energy (no corrections) in eV per cell: -39.15
Formation energy from the elements in eV per atom: -0.307
Fermi-level density of states in states/eV per atom: 0.960
Space group: F-43m, No. 216

A geometry-optimized SmPaBeN3 structure. Source: Alexandria via LeMat-Bulk, functional PBE.

Cell and atoms, written as extended XYZ:
```
12
Lattice="6.8998 0.0000 0.0000 0.0000 3.3615 0.0000 -1.1203 0.0000 7.1182" Properties=species:S:1:pos:R:3 pbc="T T T"
Sm 1.2208 0.8404 1.1673
Sm 4.5587 2.5211 5.9509
Pa 0.5999 0.8404 4.6599
Pa 5.1795 2.5211 2.4583
Be 1.7585 2.5211 6.6013
Be 4.0210 0.8404 0.5168
N 0.4813 2.5211 2.9486
N 0.0861 2.5211 6.2597
N 2.4614 0.8404 6.0059
N 3.3181 2.5211 1.1123
N 5.6933 0.8404 0.8585
N 5.2981 0.8404 4.1695
```

Calculated values
Total DFT energy (no corrections) in eV per cell: -102.28
Fermi-level density of states in states/eV per atom: 0.397
Formation energy (no corrections) in meV/atom: -1370.6
Space group: P2_1/m, No. 11